{"formula": "RbInRe3", "functional": "GGA-PBE", "state": "relaxed", "formation_enthalpy_0k_ev_per_atom": 3.022, "n_ef_per_ev_cell": 7.26, "polymorph_energy_ev_per_atom": 0.000, "mass_density_kg_m3": 9518, "volume_a3_per_atom": 26.48, "energy_ev_per_cell": -25.94, "lattice_angstrom": [[5.097, 0.000, 0.000], [0.000, 5.097, 0.000], [0.000, 0.000, 5.097]], "species": ["Re", "Re", "Re", "Rb", "In"], "frac_coords": [[0.000, 0.500, 0.000], [0.000, 0.000, 0.500], [0.500, 0.000, 0.000], [0.500, 0.500, 0.500], [0.000, 0.000, 0.000]]}